Ba2LiSn3Au4 | PBE-GGA | optimized geometry

a b c (Å): 4.899 4.899 10.932
angles (deg): 90.00 90.00 90.00
Atoms (fractional coordinates):
Ba 0.000 0.500 0.244
Ba 0.500 0.000 0.756
Li 0.000 0.000 0.500
Sn 0.000 0.500 0.871
Sn 0.500 0.000 0.129
Sn 0.500 0.500 0.500
Au 0.000 0.000 0.000
Au 0.000 0.500 0.618
Au 0.500 0.000 0.382
Au 0.500 0.500 0.000

Summary:
Energy ... -3.7143 eV per atom
Symmetry ... No. 115

=====

BaSrLi2Au | PBE-GGA | optimized geometry

a b c (Å): 5.475 5.475 6.083
angles (deg): 90.00 90.00 90.00
Atoms (fractional coordinates):
Ba 0.000 0.000 0.000
Sr 0.500 0.500 0.000
Li 0.000 0.500 0.500
Li 0.500 0.000 0.500
Au 0.000 0.000 0.500

Summary:
Energy above the most stable polymorph in this dataset ... 32.3 meV/atom
Energy ... -2.2662 eV per atom
Symmetry ... No. 123

=====

BaSrLi2Au | PBE-GGA | optimized geometry

a b c (Å): 5.451 5.451 5.870
angles (deg): 90.00 90.00 90.00
Atoms (fractional coordinates):
Ba 0.000 0.000 0.000
Sr 0.500 0.500 0.000
Li 0.000 0.500 0.500
Li 0.500 0.000 0.500
Au 0.500 0.500 0.500

Summary:
Energy above the most stable polymorph in this dataset ... 0.0 meV/atom
Energy ... -2.2986 eV per atom
Symmetry ... No. 123

=====

BaSrLiAu2 | PBE-GGA | optimized geometry

a b c (Å): 4.628 4.628 8.966
angles (deg): 90.00 90.00 120.00
Atoms (fractional coordinates):
Ba 0.000 0.000 0.000
Sr 0.333 0.667 0.588
Li 0.667 0.333 0.301
Au 0.333 0.667 0.236
Au 0.667 0.333 0.773

Summary:
Energy ... -2.9585 eV per atom
Symmetry ... No. 156

=====

BaSrLi2Au2 | PBE-GGA | optimized geometry

a b c (Å): 4.688 4.688 8.771
angles (deg): 90.00 90.00 120.00
Atoms (fractional coordinates):
Ba 0.000 0.000 0.000
Sr 0.000 0.000 0.500
Li 0.333 0.667 0.731
Li 0.667 0.333 0.269
Au 0.333 0.667 0.266
Au 0.667 0.333 0.734

Summary:
Energy ... -2.8714 eV per atom
Symmetry ... No. 164

=====

Ba2LiTl6Au | PBE-GGA | optimized geometry

a b c (Å): 7.696 7.696 7.601
angles (deg): 119.52 119.52 90.02
Atoms (fractional coordinates):
Ba 0.214 0.786 0.000
Ba 0.786 0.214 0.000
Li 0.500 0.500 0.500
Tl 0.261 0.739 0.500
Tl 0.288 0.288 0.560
Tl 0.289 0.289 0.016
Tl 0.711 0.711 0.984
Tl 0.712 0.712 0.440
Tl 0.739 0.261 0.500
Au 0.000 0.000 0.500

Summary:
Energy ... -2.5320 eV per atom
Symmetry ... No. 12

=====

Ba3Li4Tl2Au2 | PBE-GGA | optimized geometry

a b c (Å): 4.825 4.825 16.384
angles (deg): 90.00 90.00 120.00
Atoms (fractional coordinates):
Ba 0.000 0.000 0.000
Ba 0.000 0.000 0.272
Ba 0.000 0.000 0.728
Li 0.333 0.667 0.404
Li 0.333 0.667 0.863
Li 0.667 0.333 0.137
Li 0.667 0.333 0.596
Tl 0.333 0.667 0.567
Tl 0.667 0.333 0.433
Au 0.333 0.667 0.139
Au 0.667 0.333 0.861

Summary:
Energy ... -2.5556 eV per atom
Symmetry ... No. 164

=====

BaLiTlAu | PBE-GGA | optimized geometry

a b c (Å): 5.374 5.374 5.374
angles (deg): 60.00 60.00 60.00
Atoms (fractional coordinates):
Ba 0.000 0.000 0.000
Li 0.250 0.250 0.250
Tl 0.500 0.500 0.500
Au 0.750 0.750 0.750

Summary:
Energy above the most stable polymorph in this dataset ... 148.6 meV/atom
Energy ... -2.6701 eV per atom
Symmetry ... No. 216

=====

Ba2LiTlAu | PBE-GGA | optimized geometry

a b c (Å): 6.378 6.378 4.853
angles (deg): 90.00 90.00 90.00
Atoms (fractional coordinates):
Ba 0.000 0.500 0.000
Ba 0.500 0.000 0.000
Li 0.000 0.000 0.500
Tl 0.500 0.500 0.500
Au 0.000 0.000 0.000

Summary:
Energy ... -2.6225 eV per atom
Symmetry ... No. 123

=====

Ba2LiTl4Au3 | PBE-GGA | optimized geometry

a b c (Å): 4.699 4.699 12.961
angles (deg): 90.00 90.00 90.00
Atoms (fractional coordinates):
Ba 0.000 0.500 0.246
Ba 0.500 0.000 0.754
Li 0.000 0.000 0.500
Tl 0.000 0.000 0.000
Tl 0.000 0.500 0.628
Tl 0.500 0.000 0.372
Tl 0.500 0.500 0.000
Au 0.000 0.500 0.851
Au 0.500 0.000 0.149
Au 0.500 0.500 0.500

Summary:
Energy ... -2.8830 eV per atom
Symmetry ... No. 115

=====

BaLiTlAu | PBE-GGA | optimized geometry

a b c (Å): 4.810 4.810 6.480
angles (deg): 111.97 111.97 60.08
Atoms (fractional coordinates):
Ba 0.000 0.000 0.000
Li 0.521 0.521 0.563
Tl 0.797 0.797 0.390
Au 0.200 0.200 0.597

Summary:
Energy above the most stable polymorph in this dataset ... 0.0 meV/atom
Energy ... -2.8187 eV per atom
Symmetry ... No. 8

=====

Ba2LiTlAu6 | PBE-GGA | optimized geometry

a b c (Å): 5.562 7.473 7.512
angles (deg): 84.45 68.33 68.16
Atoms (fractional coordinates):
Ba 0.044 0.208 0.204
Ba 0.956 0.792 0.796
Li 0.500 0.500 0.000
Tl 0.500 0.000 0.500
Au 0.018 0.727 0.237
Au 0.342 0.413 0.402
Au 0.483 0.272 0.763
Au 0.517 0.728 0.237
Au 0.658 0.587 0.598
Au 0.982 0.273 0.763

Summary:
Energy ... -3.2379 eV per atom
Symmetry ... No. 2

=====

BaLi4Tl2Au | PBE-GGA | optimized geometry

a b c (Å): 10.419 10.419 10.419
angles (deg): 26.14 26.14 26.14
Atoms (fractional coordinates):
Ba 0.000 0.000 0.000
Li 0.142 0.142 0.142
Li 0.417 0.417 0.417
Li 0.583 0.583 0.583
Li 0.858 0.858 0.858
Tl 0.242 0.242 0.242
Tl 0.758 0.758 0.758
Au 0.500 0.500 0.500

Summary:
Energy ... -2.4833 eV per atom
Symmetry ... No. 166

=====

BaLi2TmAu4 | PBE-GGA | optimized geometry

a b c (Å): 10.416 10.416 10.416
angles (deg): 25.53 25.53 25.53
Atoms (fractional coordinates):
Ba 0.000 0.000 0.000
Li 0.238 0.238 0.238
Li 0.762 0.762 0.762
Tm 0.500 0.500 0.500
Au 0.119 0.119 0.119
Au 0.404 0.404 0.404
Au 0.596 0.596 0.596
Au 0.881 0.881 0.881

Summary:
Energy ... -3.5841 eV per atom
Symmetry ... No. 166

=====

BaLiZnAu2 | PBE-GGA | optimized geometry

a b c (Å): 6.883 6.883 6.883
angles (deg): 142.89 142.89 53.48
Atoms (fractional coordinates):
Ba 0.000 0.000 0.000
Li 0.750 0.250 0.500
Zn 0.250 0.750 0.500
Au 0.379 0.379 0.000
Au 0.621 0.621 0.000

Summary:
Energy above the most stable polymorph in this dataset ... 0.0 meV/atom
Energy ... -2.8872 eV per atom
Symmetry ... No. 119

=====

BaLiZnAu | PBE-GGA | optimized geometry

a b c (Å): 5.370 5.370 5.370
angles (deg): 60.00 60.00 60.00
Atoms (fractional coordinates):
Ba 0.000 0.000 0.000
Li 0.500 0.500 0.500
Zn 0.250 0.250 0.250
Au 0.750 0.750 0.750

Summary:
Energy ... -2.3525 eV per atom
Symmetry ... No. 216

=====

BaLiZn2Au5 | PBE-GGA | optimized geometry

a b c (Å): 5.061 5.061 7.790
angles (deg): 90.00 90.00 90.00
Atoms (fractional coordinates):
Ba 0.000 0.000 0.000
Li 0.000 0.000 0.500
Zn 0.500 0.500 0.332
Zn 0.500 0.500 0.668
Au 0.000 0.500 0.312
Au 0.000 0.500 0.688
Au 0.500 0.000 0.312
Au 0.500 0.000 0.688
Au 0.500 0.500 0.000

Summary:
Energy ... -2.8507 eV per atom
Symmetry ... No. 123

=====

Ba3LiZn2Au6 | PBE-GGA | optimized geometry

a b c (Å): 6.755 6.755 8.519
angles (deg): 90.00 90.00 120.00
Atoms (fractional coordinates):
Ba 0.000 0.000 0.000
Ba 0.333 0.667 0.666
Ba 0.667 0.333 0.334
Li 0.000 0.000 0.500
Zn 0.333 0.667 0.078
Zn 0.667 0.333 0.922
Au 0.182 0.364 0.312
Au 0.182 0.818 0.312
Au 0.364 0.182 0.688
Au 0.636 0.818 0.312
Au 0.818 0.182 0.688
Au 0.818 0.636 0.688

Summary:
Energy ... -2.9477 eV per atom
Symmetry ... No. 164

=====

BaLiZnAu2 | PBE-GGA | optimized geometry

a b c (Å): 5.111 5.111 4.817
angles (deg): 90.00 90.00 90.00
Atoms (fractional coordinates):
Ba 0.000 0.000 0.000
Li 0.500 0.500 0.000
Zn 0.500 0.500 0.500
Au 0.000 0.500 0.500
Au 0.500 0.000 0.500

Summary:
Energy above the most stable polymorph in this dataset ... 195.4 meV/atom
Energy ... -2.6918 eV per atom
Symmetry ... No. 123

=====

Ba2LiZn4Au3 | PBE-GGA | optimized geometry

a b c (Å): 4.594 4.594 11.107
angles (deg): 90.00 90.00 90.00
Atoms (fractional coordinates):
Ba 0.000 0.500 0.246
Ba 0.500 0.000 0.754
Li 0.000 0.000 0.500
Zn 0.000 0.000 0.000
Zn 0.000 0.500 0.625
Zn 0.500 0.000 0.375
Zn 0.500 0.500 0.000
Au 0.000 0.500 0.871
Au 0.500 0.000 0.129
Au 0.500 0.500 0.500

Summary:
Energy ... -2.5020 eV per atom
Symmetry ... No. 115

=====

Ba2LiZn3Au4 | PBE-GGA | optimized geometry

a b c (Å): 4.767 4.767 10.372
angles (deg): 90.00 90.00 90.00
Atoms (fractional coordinates):
Ba 0.000 0.500 0.245
Ba 0.500 0.000 0.755
Li 0.000 0.000 0.500
Zn 0.000 0.500 0.880
Zn 0.500 0.000 0.120
Zn 0.500 0.500 0.500
Au 0.000 0.000 0.000
Au 0.000 0.500 0.624
Au 0.500 0.000 0.376
Au 0.500 0.500 0.000

Summary:
Energy ... -2.7863 eV per atom
Symmetry ... No. 115

=====

BaLiZn2Au4 | PBE-GGA | optimized geometry

a b c (Å): 9.751 9.751 9.751
angles (deg): 26.82 26.82 26.82
Atoms (fractional coordinates):
Ba 0.000 0.000 0.000
Li 0.500 0.500 0.500
Zn 0.232 0.232 0.232
Zn 0.768 0.768 0.768
Au 0.135 0.135 0.135
Au 0.409 0.409 0.409
Au 0.591 0.591 0.591
Au 0.865 0.865 0.865

Summary:
Energy ... -2.8896 eV per atom
Symmetry ... No. 166

=====

Ba3MgAu3 | PBE-GGA | optimized geometry

a b c (Å): 6.828 6.828 16.444
angles (deg): 109.46 109.46 40.04
Atoms (fractional coordinates):
Ba 0.018 0.018 0.383
Ba 0.098 0.098 0.921
Ba 0.240 0.240 0.231
Ba 0.760 0.760 0.769
Ba 0.902 0.902 0.079
Ba 0.982 0.982 0.617
Mg 0.260 0.260 0.584
Mg 0.740 0.740 0.416
Au 0.365 0.365 0.456
Au 0.387 0.387 0.923
Au 0.449 0.449 0.757
Au 0.551 0.551 0.243
Au 0.613 0.613 0.077
Au 0.635 0.635 0.544

Summary:
Energy ... -3.0952 eV per atom
Symmetry ... No. 12

=====

BaMg2Au | PBE-GGA | optimized geometry

a b c (Å): 4.513 4.513 11.502
angles (deg): 90.00 90.00 90.00
Atoms (fractional coordinates):
Ba 0.250 0.250 0.237
Ba 0.750 0.750 0.763
Mg 0.250 0.250 0.925
Mg 0.250 0.750 0.500
Mg 0.750 0.250 0.500
Mg 0.750 0.750 0.075
Au 0.250 0.250 0.651
Au 0.750 0.750 0.349

Summary:
Energy ... -2.4886 eV per atom
Symmetry ... No. 129

=====

BaMg2Au | PBE-GGA | optimized geometry

a b c (Å): 4.854 4.854 6.619
angles (deg): 111.45 111.45 59.95
Atoms (fractional coordinates):
Ba 0.000 0.000 0.000
Mg 0.525 0.525 0.573
Mg 0.805 0.805 0.412
Au 0.190 0.190 0.568

Summary:
Energy ... -2.4846 eV per atom
Symmetry ... No. 8